TcSb6Rh | PBE | optimized geometry

```
data_TcSb6Rh
_chemical_formula_sum 'Tc4 Sb24 Rh4'
_symmetry_space_group_name_H-M 'C 1 2/m 1'
_symmetry_Int_Tables_number 12
_cell_length_a 13.2518
_cell_length_b 9.4477
_cell_length_c 9.4037
_cell_angle_alpha 90.00
_cell_angle_beta 134.62
_cell_angle_gamma 90.00
loop_
_symmetry_equiv_pos_as_xyz
'x,y,z'
'-x,-y,-z'
'-x,y,-z'
'x,-y,z'
'x+1/2,y+1/2,z'
'-x+1/2,-y+1/2,-z'
'-x+1/2,y+1/2,-z'
'x+1/2,-y+1/2,z'
loop_
_atom_site_label
_atom_site_type_symbol
_atom_site_fract_x
_atom_site_fract_y
_atom_site_fract_z
Tc1 Tc 0.2500 0.2500 0.0000
Sb1 Sb 0.0011 0.1561 0.6612
Sb2 Sb 0.1555 0.3394 0.1556
Sb3 Sb 0.1595 0.5000 0.5028
Sb4 Sb 0.1606 0.5000 0.8170
Rh1 Rh 0.2500 0.2500 0.5000
```

Values from the calculation:
The calculation puts the density of states at the Fermi level at 31.19 states/eV per cell. Its energy is -5.45 eV per atom.

***

La8Ni3PtCl4 | PBE | optimized geometry

```
data_La8Ni3PtCl4
_chemical_formula_sum 'La16 Ni6 Pt2 Cl8'
_symmetry_space_group_name_H-M 'C 1 2/m 1'
_symmetry_Int_Tables_number 12
_cell_length_a 14.4596
_cell_length_b 8.3215
_cell_length_c 8.9592
_cell_angle_alpha 90.00
_cell_angle_beta 122.50
_cell_angle_gamma 90.00
loop_
_symmetry_equiv_pos_as_xyz
'x,y,z'
'-x,-y,-z'
'-x,y,-z'
'x,-y,z'
'x+1/2,y+1/2,z'
'-x+1/2,-y+1/2,-z'
'-x+1/2,y+1/2,-z'
'x+1/2,-y+1/2,z'
loop_
_atom_site_label
_atom_site_type_symbol
_atom_site_fract_x
_atom_site_fract_y
_atom_site_fract_z
La1 La 0.0159 0.2451 0.2937
La2 La 0.2346 0.0000 0.7026
La3 La 0.2386 0.5000 0.7061
Ni1 Ni 0.0000 0.0000 0.5000
Ni2 Ni 0.2500 0.2500 0.5000
Pt1 Pt 0.0000 0.5000 0.5000
Cl1 Cl 0.0000 0.0000 0.0000
Cl2 Cl 0.0000 0.5000 0.0000
Cl3 Cl 0.2500 0.2500 0.0000
```

Values from the calculation:
The calculation puts the density of states at the Fermi level at 26.95 states/eV per cell. Its energy is -5.47 eV per atom.

***

SrAc2Ce3Te6 | PBE | optimized geometry

```
data_SrAc2Ce3Te6
_chemical_formula_sum 'Sr2 Ac4 Ce6 Te12'
_symmetry_space_group_name_H-M 'C 1 2/m 1'
_symmetry_Int_Tables_number 12
_cell_length_a 20.2149
_cell_length_b 4.5802
_cell_length_c 9.3106
_cell_angle_alpha 90.00
_cell_angle_beta 104.22
_cell_angle_gamma 90.00
loop_
_symmetry_equiv_pos_as_xyz
'x,y,z'
'-x,-y,-z'
'-x,y,-z'
'x,-y,z'
'x+1/2,y+1/2,z'
'-x+1/2,-y+1/2,-z'
'-x+1/2,y+1/2,-z'
'x+1/2,-y+1/2,z'
loop_
_atom_site_label
_atom_site_type_symbol
_atom_site_fract_x
_atom_site_fract_y
_atom_site_fract_z
Sr1 Sr 0.0000 0.0000 0.0000
Ac1 Ac 0.1686 0.5000 0.3366
Ce1 Ce 0.0000 0.0000 0.5000
Ce2 Ce 0.1678 0.5000 0.8317
Te1 Te 0.0027 0.5000 0.7464
Te2 Te 0.1623 0.0000 0.5910
Te3 Te 0.1676 0.0000 0.0741
```

Values from the calculation:
The calculation puts the density of states at the Fermi level at 48.25 states/eV per cell. Its energy is -5.33 eV per atom.

***

La2OsAu | PBE | optimized geometry

```
data_La2OsAu
_chemical_formula_sum 'La2 Os1 Au1'
_symmetry_space_group_name_H-M 'P 1 2/m 1'
_symmetry_Int_Tables_number 10
_cell_length_a 3.5937
_cell_length_b 3.5182
_cell_length_c 7.8402
_cell_angle_alpha 90.00
_cell_angle_beta 90.08
_cell_angle_gamma 90.00
loop_
_symmetry_equiv_pos_as_xyz
'x,y,z'
'-x,-y,-z'
'-x,y,-z'
'x,-y,z'
loop_
_atom_site_label
_atom_site_type_symbol
_atom_site_fract_x
_atom_site_fract_y
_atom_site_fract_z
La1 La 0.0008 0.0000 0.2735
Os1 Os 0.5000 0.5000 0.5000
Au1 Au 0.5000 0.5000 0.0000
```

Values from the calculation:
The calculation puts the density of states at the Fermi level at 2.40 states/eV per cell. Its energy is -6.48 eV per atom. The formation energy is -385 meV per atom.

***

Mo2RhAu | PBE | optimized geometry

```
data_Mo2RhAu
_chemical_formula_sum 'Mo2 Rh1 Au1'
_symmetry_space_group_name_H-M 'P m m 2'
_symmetry_Int_Tables_number 25
_cell_length_a 2.7557
_cell_length_b 3.9997
_cell_length_c 5.7618
_cell_angle_alpha 90.00
_cell_angle_beta 90.00
_cell_angle_gamma 90.00
loop_
_symmetry_equiv_pos_as_xyz
'x,y,z'
'-x,-y,z'
'-x,y,z'
'x,-y,z'
loop_
_atom_site_label
_atom_site_type_symbol
_atom_site_fract_x
_atom_site_fract_y
_atom_site_fract_z
Mo1 Mo 0.0000 0.0000 0.0000
Mo2 Mo 0.5000 0.5000 0.2570
Rh1 Rh 0.0000 0.0000 0.4715
Au1 Au 0.5000 0.5000 0.7421
```

Values from the calculation:
The calculation puts the density of states at the Fermi level at 3.89 states/eV per cell. The offset from the most stable computed form comes out at 60.8 meV per atom. Its energy is -7.97 eV per atom. The formation energy is 100 meV per atom.

***

Ag5SbTe4 | PBE | optimized geometry

```
data_Ag5SbTe4
_chemical_formula_sum 'Ag10 Sb2 Te8'
_symmetry_space_group_name_H-M 'C 1 2/m 1'
_symmetry_Int_Tables_number 12
_cell_length_a 17.2379
_cell_length_b 4.6149
_cell_length_c 7.2225
_cell_angle_alpha 90.00
_cell_angle_beta 103.55
_cell_angle_gamma 90.00
loop_
_symmetry_equiv_pos_as_xyz
'x,y,z'
'-x,-y,-z'
'-x,y,-z'
'x,-y,z'
'x+1/2,y+1/2,z'
'-x+1/2,-y+1/2,-z'
'-x+1/2,y+1/2,-z'
'x+1/2,-y+1/2,z'
loop_
_atom_site_label
_atom_site_type_symbol
_atom_site_fract_x
_atom_site_fract_y
_atom_site_fract_z
Ag1 Ag 0.0000 0.0000 0.0000
Ag2 Ag 0.1633 0.5000 0.6573
Ag3 Ag 0.2254 0.5000 0.3163
Sb1 Sb 0.0000 0.0000 0.5000
Te1 Te 0.0636 0.5000 0.2732
Te2 Te 0.1480 0.0000 0.8576
```

Values from the calculation:
The calculation puts the density of states at the Fermi level at 1.89 states/eV per cell. Its energy is -3.09 eV per atom.

***

Sc2ReMo | PBE | optimized geometry

```
data_Sc2ReMo
_chemical_formula_sum 'Sc2 Re1 Mo1'
_symmetry_space_group_name_H-M 'P 1 2/m 1'
_symmetry_Int_Tables_number 10
_cell_length_a 2.8461
_cell_length_b 4.5703
_cell_length_c 5.4941
_cell_angle_alpha 90.00
_cell_angle_beta 100.93
_cell_angle_gamma 90.00
loop_
_symmetry_equiv_pos_as_xyz
'x,y,z'
'-x,-y,-z'
'-x,y,-z'
'x,-y,z'
loop_
_atom_site_label
_atom_site_type_symbol
_atom_site_fract_x
_atom_site_fract_y
_atom_site_fract_z
Sc1 Sc 0.2412 0.0000 0.2539
Re1 Re 0.0000 0.5000 0.5000
Mo1 Mo 0.5000 0.5000 0.0000
```

Values from the calculation:
The calculation puts the density of states at the Fermi level at 4.22 states/eV per cell. The offset from the most stable computed form comes out at 201.5 meV per atom. Its energy is -8.87 eV per atom. The formation energy is 112 meV per atom.

***

LaNi5As3 | PBE | optimized geometry

```
data_LaNi5As3
_chemical_formula_sum 'La4 Ni20 As12'
_symmetry_space_group_name_H-M 'C m c m'
_symmetry_Int_Tables_number 63
_symmetry_space_group_name_Hall '-C 2c 2'
_cell_length_a 3.7792
_cell_length_b 12.1917
_cell_length_c 11.8589
_cell_angle_alpha 90.00
_cell_angle_beta 90.00
_cell_angle_gamma 90.00
loop_
_atom_site_label
_atom_site_type_symbol
_atom_site_fract_x
_atom_site_fract_y
_atom_site_fract_z
La1 La 0.0000 0.1630 0.2500
Ni1 Ni 0.0000 0.0000 0.0000
Ni2 Ni 0.0000 0.1939 0.5668
Ni3 Ni 0.0000 0.4503 0.1451
As1 As 0.0000 0.1146 0.7500
As2 As 0.0000 0.3797 0.5424
```

Values from the calculation:
The calculation puts the density of states at the Fermi level at 27.97 states/eV per cell. The offset from the most stable computed form comes out at 0.0 meV per atom. Its energy is -5.91 eV per atom. The formation energy is -601 meV per atom.

***

CsIn2Pd | PBE | optimized geometry

```
data_CsIn2Pd
_chemical_formula_sum 'Cs4 In8 Pd4'
_symmetry_space_group_name_H-M 'F m -3 m'
_symmetry_Int_Tables_number 225
_symmetry_space_group_name_Hall '-F 4 2 3'
_cell_length_a 7.7222
_cell_length_b 7.7222
_cell_length_c 7.7222
_cell_angle_alpha 90.00
_cell_angle_beta 90.00
_cell_angle_gamma 90.00
loop_
_atom_site_label
_atom_site_type_symbol
_atom_site_fract_x
_atom_site_fract_y
_atom_site_fract_z
Cs1 Cs 0.0000 0.0000 0.0000
In1 In 0.2500 0.2500 0.2500
Pd1 Pd 0.0000 0.0000 0.5000
```

Values from the calculation:
The calculation puts the density of states at the Fermi level at 15.88 states/eV per cell. Its energy is -2.62 eV per atom. The formation energy is 262 meV per atom.

***

CdGa11 | PBE | optimized geometry

```
data_CdGa11
_chemical_formula_sum 'Cd4 Ga44'
_symmetry_space_group_name_H-M 'I 41/a m d'
_symmetry_Int_Tables_number 141
_cell_length_a 10.7791
_cell_length_b 10.7791
_cell_length_c 8.2747
_cell_angle_alpha 90.00
_cell_angle_beta 90.00
_cell_angle_gamma 90.00
loop_
_symmetry_equiv_pos_as_xyz
'x,y,z'
'-x,-y,-z'
'-y+1/4,x+3/4,z+1/4'
'y+1/4,-x+3/4,-z+1/4'
'-x+1/2,-y,z+1/2'
'x+1/2,y,-z+1/2'
'y+1/4,-x+1/4,z+3/4'
'-y+1/4,x+1/4,-z+3/4'
'x,-y,-z'
'-x,y,z'
'-y+1/4,-x+1/4,-z+3/4'
'y+1/4,x+1/4,z+3/4'
'-x+1/2,y,-z+1/2'
'x+1/2,-y,z+1/2'
'y+1/4,x+3/4,-z+1/4'
'-y+1/4,-x+3/4,z+1/4'
'x+1/2,y+1/2,z+1/2'
'-x+1/2,-y+1/2,-z+1/2'
'-y+3/4,x+1/4,z+3/4'
'y+3/4,-x+1/4,-z+3/4'
'-x,-y+1/2,z'
'x,y+1/2,-z'
'y+3/4,-x+3/4,z+1/4'
'-y+3/4,x+3/4,-z+1/4'
'x+1/2,-y+1/2,-z+1/2'
'-x+1/2,y+1/2,z+1/2'
'-y+3/4,-x+3/4,-z+1/4'
'y+3/4,x+3/4,z+1/4'
'-x,y+1/2,-z'
'x,-y+1/2,z'
'y+3/4,x+1/4,-z+3/4'
'-y+3/4,-x+1/4,z+3/4'
loop_
_atom_site_label
_atom_site_type_symbol
_atom_site_fract_x
_atom_site_fract_y
_atom_site_fract_z
Cd1 Cd 0.0000 0.2500 0.3750
Ga1 Ga 0.0000 0.0000 0.0000
Ga2 Ga 0.0000 0.2500 0.8750
Ga3 Ga 0.1210 0.0499 0.6558
```

Values from the calculation:
The calculation puts the density of states at the Fermi level at 15.04 states/eV per cell. Its energy is -2.80 eV per atom. The formation energy is 47 meV per atom.

***

Dy3Mg5Pd2 | PBE | optimized geometry

```
data_Dy3Mg5Pd2
_chemical_formula_sum 'Dy12 Mg20 Pd8'
_symmetry_space_group_name_H-M 'I b a m'
_symmetry_Int_Tables_number 72
_symmetry_space_group_name_Hall '-I 2 2c'
_cell_length_a 12.0796
_cell_length_b 12.8630
_cell_length_c 6.2444
_cell_angle_alpha 90.00
_cell_angle_beta 90.00
_cell_angle_gamma 90.00
loop_
_atom_site_label
_atom_site_type_symbol
_atom_site_fract_x
_atom_site_fract_y
_atom_site_fract_z
Dy1 Dy 0.0000 0.0000 0.2500
Dy2 Dy 0.2385 0.1636 0.0000
Mg1 Mg 0.0000 0.2704 0.2500
Mg2 Mg 0.0000 0.5000 0.2500
Mg3 Mg 0.1796 0.4179 0.0000
Pd1 Pd 0.1237 0.1484 0.5000
```

Values from the calculation:
The calculation puts the density of states at the Fermi level at 28.65 states/eV per cell. Its energy is -3.50 eV per atom. The formation energy is -279 meV per atom.

***

CaTc2PdSe | PBE | optimized geometry

```
data_CaTc2PdSe
_chemical_formula_sum 'Ca1 Tc2 Pd1 Se1'
_symmetry_space_group_name_H-M 'P 4/m m m'
_symmetry_Int_Tables_number 123
_symmetry_space_group_name_Hall '-P 4 2'
_cell_length_a 4.8956
_cell_length_b 4.8956
_cell_length_c 5.4698
_cell_angle_alpha 90.00
_cell_angle_beta 90.00
_cell_angle_gamma 90.00
loop_
_atom_site_label
_atom_site_type_symbol
_atom_site_fract_x
_atom_site_fract_y
_atom_site_fract_z
Ca1 Ca 0.0000 0.0000 0.0000
Tc1 Tc 0.0000 0.5000 0.5000
Pd1 Pd 0.0000 0.0000 0.5000
Se1 Se 0.5000 0.5000 0.0000
```

Values from the calculation:
The calculation puts the density of states at the Fermi level at 4.12 states/eV per cell. Its energy is -5.22 eV per atom.